Material: CoIrPbO6
Method: DFT, PBE+U
State: optimized geometry

Computed properties:
* DFT total energy: -54.78 eV/f.u.
* size of the total moment: 0.648 μB/cell
* crystal system: trigonal

Cell: 5.008 5.125 5.125 Å, 120.00 90.00 90.00°
Each line ends with the local moment (μB).
Atoms (fractional coordinates):
Co  0.500  0.000  0.000  0.03
Ir  0.500  0.667  0.333  0.31
Pb  0.000  0.333  0.667  -0.01
O  0.711  0.717  0.673  0.04
O  0.711  0.327  0.044  0.04
O  0.711  0.956  0.283  0.04
O  0.289  0.327  0.283  0.04
O  0.289  0.717  0.044  0.04
O  0.289  0.956  0.673  0.04